## NpU4N5 (GGA-PBE)

Data for a relaxed NpU4N5 crystal.

Calculated values
Crystal system = tetragonal
D(E_F) = 36.88 states/eV/cell
Energy = -11.253 eV/atom
Formation energy from raw total energies = -29.55 kcal/mol of atoms

Lattice parameters (Å, degrees): 7.6909 7.6909 4.8668 90.00 90.00 90.00
With the nearest neighbours (Å) after each atom.
Space group I4/m (No. 87)
Symmetry-distinct sites (fractional):
Np1 0.0000 0.0000 0.0000 x2  6 N 2.43-2.46
U1 0.1011 0.7007 0.5000 x8  6 N 2.42-2.43
N1 0.0000 0.0000 0.5000 x2  4 U 2.43, 2 Np 2.43
N2 0.1006 0.6966 0.0000 x8  5 U 2.42-2.43, 1 Np 2.46

## Np3UN4 (GGA-PBE)

Data for a relaxed Np3UN4 crystal.

Calculated values
Crystal system = orthorhombic
D(E_F) = 33.53 states/eV/cell
Energy = -11.593 eV/atom
Formation energy from raw total energies = -26.90 kcal/mol of atoms

Lattice parameters (Å, degrees): 6.8721 9.7390 3.4441 90.00 90.00 90.00
With the nearest neighbours (Å) after each atom.
Space group Cmmm (No. 65)
Symmetry-distinct sites (fractional):
Np1 0.0000 0.0000 0.0000 x2  6 N 2.45
Np2 0.2500 0.2500 0.5000 x4  6 N 2.43
U1 0.0000 0.5000 0.0000 x2  6 N 2.41-2.42
N1 0.0000 0.2519 0.0000 x4  1 U 2.42, 5 Np 2.43-2.45
N2 0.2457 0.5000 0.5000 x4  2 U 2.41, 4 Np 2.43-2.45

## NpUN (GGA-PBE)

Data for a relaxed NpUN crystal.

Calculated values
Crystal system = tetragonal
Energy = -10.689 eV/atom
Energy relative to the lowest polymorph listed for this composition = 1041 meV per atom
Formation energy from raw total energies = 3.74 kcal/mol of atoms

Lattice parameters (Å, degrees): 3.4416 3.4416 7.5709 90.00 90.00 90.00
With the nearest neighbours (Å) after each atom.
Space group I4mm (No. 107)
Symmetry-distinct sites (fractional):
Np1 0.0000 0.0000 0.0000 x2  5 U 2.49-2.76, 5 N 2.59-2.71
U1 0.0000 0.0000 0.6714 x2  5 Np 2.49-2.76, 5 N 2.49-2.76
N1 0.0000 0.0000 0.3421 x2  5 U 2.49-2.76, 5 Np 2.59-2.71

## NpU2N4 (GGA-PBE)

Data for a relaxed NpU2N4 crystal.

Calculated values
Crystal system = trigonal
D(E_F) = 23.54 states/eV/cell
Energy = -10.953 eV/atom
Energy relative to the lowest polymorph listed for this composition = 28 meV per atom
Formation energy from raw total energies = -25.87 kcal/mol of atoms

Lattice parameters (Å, degrees): 3.6492 3.6492 26.0835 90.00 90.00 120.00
With the nearest neighbours (Å) after each atom.
Space group R-3m (No. 166, hexagonal axes)
Symmetry-distinct sites (fractional):
Np1 0.0000 0.0000 0.0000 x3  6 N 2.49
U1 0.0000 0.0000 0.1097 x6  4 N 2.22-2.28
N1 0.0000 0.0000 0.1972 x6  4 U 2.22-2.28
N2 0.0000 0.0000 0.3843 x6  3 Np 2.49, 3 U 2.61

## NpUN (GGA-PBE)

Data for a relaxed NpUN crystal.

Calculated values
Crystal system = trigonal
Energy = -11.730 eV/atom
Energy relative to the lowest polymorph listed for this composition = 0 meV per atom
Formation energy from raw total energies = -20.26 kcal/mol of atoms

Lattice parameters (Å, degrees): 3.4223 3.4223 4.4447 90.00 90.00 120.00
With the nearest neighbours (Å) after each atom.
Space group P3m1 (No. 156)
Symmetry-distinct sites (fractional):
Np1 0.0000 0.0000 0.0000 x1  3 N 2.45, 3 U 2.49
U1 0.3333 0.6667 0.6603 x1  3 N 2.47, 3 Np 2.49
N1 0.6667 0.3333 0.3255 x1  3 Np 2.45, 3 U 2.47

## NpU3N6 (GGA-PBE)

Data for a relaxed NpU3N6 crystal.

Calculated values
Crystal system = trigonal
D(E_F) = 95.83 states/eV/cell
Energy = -10.934 eV/atom
Formation energy from raw total energies = -29.02 kcal/mol of atoms

Lattice parameters (Å, degrees): 9.6823 9.6823 11.3311 90.00 90.00 120.00
With the nearest neighbours (Å) after each atom.
Space group R-3 (No. 148, hexagonal axes)
Symmetry-distinct sites (fractional):
Np1 0.0000 0.0000 0.0000 x3  6 N 2.26
Np2 0.0000 0.0000 0.5000 x3  6 N 2.28
U1 0.0374 0.2645 0.2106 x18  6 N 2.24-2.42
N1 0.0287 0.1885 0.8689 x18  1 Np 2.26, 3 U 2.26-2.34
N2 0.0373 0.2240 0.4057 x18  3 U 2.24-2.42, 1 Np 2.28